9
Lattice="3.8941 0.0000 0.0000 0.0000 6.5502 3.7763 0.0000 -6.5502 3.7763" Properties=species:S:1:pos:R:3 comment="SmDy2In3Cu3 PBE-GGA optimized geometry" final_energy_ev_per_atom=-4.11 crystal_system=orthorhombic total_magnetization_mub_per_fu=0.01 pbc="T T T"
Cu 0.0000 0.0000 0.0074
Cu 1.9470 2.2090 3.7728
Cu 1.9470 -2.2090 3.7728
Dy 0.0000 3.8629 5.3226
Dy 0.0000 -3.8629 5.3226
In 1.9470 4.8670 2.8248
In 1.9470 0.0000 1.9148
In 1.9470 -4.8670 2.8248
Sm 0.0000 0.0000 4.4470